Entry 1:
Entry from Alexandria via LeMat-Bulk: a relaxed Er6Tl5Pb crystal (PBE).

Structure (POSCAR):
```
Er6Tl5Pb
1.0
5.1580 -0.0051 -1.4463
-3.8679 7.4669 -3.8958
-0.2047 -1.1098 9.1988
Pb Tl Er
1 5 6
direct
0.0000 0.0000 0.0000
0.0000 0.6660 0.3340
0.0000 0.3340 0.6660
0.5000 0.5000 0.5000
0.5000 0.8308 0.1692
0.5000 0.1692 0.8308
0.2500 0.7498 0.7498
0.2500 0.0832 0.4169
0.7500 0.2502 0.2502
0.2500 0.4169 0.0832
0.7500 0.5831 0.9168
0.7500 0.9168 0.5831
```

Excess energy over the best structure of this formula in the dataset   0 meV/atom
Calculated volume   26.95 Å³/atom
Theoretical density   11.46 g/cm3
Space-group type   No. 71
Energy of formation from the pure elements   -0.317 eV/atom

Entry 2:
Entry from Alexandria via LeMat-Bulk: a relaxed ErTlPb2 crystal (PBE).

Structure (POSCAR):
```
ErTlPb2
1.0
4.1645 0.0000 0.0000
0.0000 4.1645 0.0000
0.0000 0.0000 6.7895
Er Pb Tl
1 2 1
direct
0.5000 0.5000 0.0000
0.0000 0.0000 0.7638
0.0000 0.0000 0.2362
0.5000 0.5000 0.5000
```

Calculated volume   29.44 Å³/atom
Theoretical density   11.08 g/cm3
Space-group type   No. 123
Energy of formation from the pure elements   -0.162 eV/atom

Entry 3:
Entry from Alexandria via LeMat-Bulk: a relaxed Er2TlPb crystal (PBE).

Structure (POSCAR):
```
Er2TlPb
1.0
-5.1883 -3.2415 -1.4944
-0.3862 -2.1104 5.9184
-6.2468 10.1351 -0.2961
Tl Er Pb
4 8 4
direct
0.8772 0.9348 0.0968
0.8772 0.5652 0.4032
0.1228 0.4348 0.5968
0.1228 0.0652 0.9032
0.3759 0.9362 0.1296
0.3759 0.5638 0.3704
0.6241 0.0638 0.8704
0.8704 0.0459 0.3658
0.6241 0.4362 0.6296
0.1296 0.5459 0.8658
0.1296 0.9541 0.6342
0.8704 0.4541 0.1342
0.3670 0.0815 0.4021
0.6330 0.9185 0.5979
0.3670 0.4185 0.0979
0.6330 0.5815 0.9021
```

Calculated volume   28.36 Å³/atom
Theoretical density   10.92 g/cm3
Space-group type   No. 13
Energy of formation from the pure elements   -0.364 eV/atom

Entry 4:
Entry from Alexandria via LeMat-Bulk: a relaxed ErTl2Pb crystal (PBE).

Structure (POSCAR):
```
ErTl2Pb
1.0
3.9654 0.0000 0.0000
0.0000 3.9654 0.0000
0.0000 0.0000 7.2288
Tl Pb Er
2 1 1
direct
0.0000 0.0000 0.7534
0.0000 0.0000 0.2466
0.5000 0.5000 0.5000
0.5000 0.5000 0.0000
```

Calculated volume   28.42 Å³/atom
Theoretical density   11.44 g/cm3
Space-group type   No. 123
Energy of formation from the pure elements   -0.087 eV/atom